Record 1
This record from Alexandria describes a relaxed CaAc6Nd5 crystal. The functional is PBE.

POSCAR file:
```
CaAc6Nd5
1.0
-2.757 5.332 8.250
2.757 -5.332 8.250
2.757 5.332 -8.250
Ca Ac Nd
1 6 5
direct
0.000 0.000 0.000 Ca
0.084 0.832 0.252 Ac
0.256 0.500 0.756 Ac
0.420 0.168 0.252 Ac
0.580 0.832 0.748 Ac
0.744 0.500 0.244 Ac
0.916 0.168 0.748 Ac
0.171 0.671 0.500 Nd
0.332 0.332 0.000 Nd
0.500 0.000 0.500 Nd
0.668 0.668 0.000 Nd
0.829 0.329 0.500 Nd
```

Output
Energy of formation: 36 kJ/mol of formula units
Total magnetization: 0.000 μB per cell
Final energy: -4.176 eV/atom
Crystal system: orthorhombic



Record 2
This record from Alexandria describes a relaxed Ca6Ac16Nd7 crystal. The functional is PBE.

POSCAR file:
```
Ca6Ac16Nd7
1.0
0.000 8.634 8.634
8.634 0.000 8.634
8.634 8.634 0.000
Ca Ac Nd
6 16 7
direct
0.230 0.230 0.770 Ca
0.230 0.770 0.230 Ca
0.230 0.770 0.770 Ca
0.770 0.230 0.230 Ca
0.770 0.230 0.770 Ca
0.770 0.770 0.230 Ca
0.135 0.622 0.622 Ac
0.156 0.156 0.156 Ac
0.156 0.156 0.533 Ac
0.156 0.533 0.156 Ac
0.378 0.378 0.378 Ac
0.378 0.378 0.865 Ac
0.378 0.865 0.378 Ac
0.467 0.844 0.844 Ac
0.533 0.156 0.156 Ac
0.622 0.135 0.622 Ac
0.622 0.622 0.135 Ac
0.622 0.622 0.622 Ac
0.844 0.467 0.844 Ac
0.844 0.844 0.467 Ac
0.844 0.844 0.844 Ac
0.865 0.378 0.378 Ac
0.000 0.000 0.500 Nd
0.000 0.500 0.000 Nd
0.000 0.500 0.500 Nd
0.500 0.000 0.000 Nd
0.500 0.000 0.500 Nd
0.500 0.500 0.000 Nd
0.500 0.500 0.500 Nd
```

Output
Energy of formation: 428 kJ/mol of formula units
Total magnetization: 0.000 μB per cell
Final energy: -3.679 eV/atom
Crystal system: cubic



Record 3
This record from Alexandria describes a relaxed CaAc2Nd crystal. The functional is PBE.

POSCAR file:
```
CaAc2Nd
1.0
1.948 1.125 12.701
-1.948 1.125 12.701
0.000 -2.250 12.701
Ca Ac Nd
1 2 1
direct
0.000 0.000 0.000 Ca
0.580 0.580 0.580 Ac
0.753 0.753 0.753 Ac
0.167 0.167 0.167 Nd
```

Output
Energy of formation: 10 kJ/mol of formula units
Excess energy over the best structure of this formula in the dataset: 0 meV per atom
Total magnetization: 0.000 μB per cell
Final energy: -3.720 eV/atom
Crystal system: trigonal



Record 4
This record from Alexandria describes a relaxed Ca3Ac8Nd2 crystal. The functional is PBE.

POSCAR file:
```
Ca3Ac8Nd2
1.0
11.449 -6.367 0.000
11.449 6.367 0.000
-0.678 0.000 3.892
Ca Ac Nd
3 8 2
direct
0.000 0.000 0.000 Ca
0.258 0.742 0.500 Ca
0.742 0.258 0.500 Ca
0.079 0.572 0.825 Ac
0.137 0.137 0.638 Ac
0.421 0.421 0.923 Ac
0.428 0.921 0.175 Ac
0.572 0.079 0.825 Ac
0.579 0.579 0.077 Ac
0.863 0.863 0.362 Ac
0.921 0.428 0.175 Ac
0.278 0.278 0.278 Nd
0.722 0.722 0.722 Nd
```

Output
Energy of formation: 101 kJ/mol of formula units
Total magnetization: 0.000 μB per cell
Final energy: -3.643 eV/atom
Crystal system: monoclinic



Record 5
This record from Alexandria describes a relaxed CaAc2Nd6 crystal. The functional is PBE.

POSCAR file:
```
CaAc2Nd6
1.0
6.500 0.000 0.000
2.202 8.196 0.000
2.177 1.147 12.787
Ca Ac Nd
2 4 12
direct
0.168 0.333 0.418 Ca
0.832 0.667 0.582 Ca
0.062 0.783 0.803 Ac
0.166 0.332 0.913 Ac
0.834 0.668 0.087 Ac
0.938 0.217 0.197 Ac
0.058 0.784 0.306 Nd
0.280 0.891 0.525 Nd
0.282 0.888 0.028 Nd
0.391 0.447 0.138 Nd
0.401 0.438 0.638 Nd
0.498 0.008 0.747 Nd
0.502 0.992 0.253 Nd
0.599 0.562 0.362 Nd
0.609 0.553 0.862 Nd
0.718 0.112 0.972 Nd
0.720 0.109 0.475 Nd
0.942 0.216 0.694 Nd
```

Output
Energy of formation: 38 kJ/mol of formula units
Total magnetization: 0.000 μB per cell
Final energy: -4.271 eV/atom
Crystal system: triclinic



Record 6
This record from Alexandria describes a relaxed CaAcNdPb crystal. The functional is PBE.

POSCAR file:
```
CaAcNdPb
1.0
0.000 4.098 4.098
4.098 0.000 4.098
4.098 4.098 0.000
Ca Ac Nd Pb
1 1 1 1
direct
0.000 0.000 0.000 Ca
0.750 0.750 0.750 Ac
0.500 0.500 0.500 Nd
0.250 0.250 0.250 Pb
```

Output
Energy of formation: -20 kJ/mol of formula units
Total magnetization: 1.015 μB per cell
Final energy: -3.698 eV/atom
Crystal system: cubic



- The highest final energy belongs to which entry?
  Ca3Ac8Nd2